VASP calculation (PBE) on TlIn2GeSe6 after structural relaxation.

Cell lengths 9.722, 9.722, 8.535 Å; angles 112.41, 112.41, 85.33 degrees
Positions (direct):
Tl 0.163 0.837 0.750
Tl 0.837 0.163 0.250
In 0.237 0.392 0.951
In 0.392 0.237 0.451
In 0.608 0.763 0.549
In 0.763 0.608 0.049
Ge 0.155 0.845 0.250
Ge 0.845 0.155 0.750
Se 0.062 0.162 0.678
Se 0.106 0.642 0.964
Se 0.162 0.062 0.178
Se 0.334 0.447 0.710
Se 0.358 0.894 0.536
Se 0.447 0.334 0.210
Se 0.553 0.666 0.790
Se 0.642 0.106 0.464
Se 0.666 0.553 0.290
Se 0.838 0.938 0.822
Se 0.894 0.358 0.036
Se 0.938 0.838 0.322

Values from the calculation:
Formation energy without anion corrections = -0.293 eV/atom
V = 687 Å³/cell



VASP calculation (PBE) on Y6InGe2Se3 after structural relaxation.

Cell lengths 9.439, 9.439, 8.439 Å; angles 106.32, 106.32, 25.36 degrees
Positions (direct):
Y 0.001 0.001 0.236
Y 0.328 0.328 0.411
Y 0.329 0.329 0.930
Y 0.671 0.671 0.070
Y 0.672 0.672 0.589
Y 0.999 0.999 0.764
In 0.500 0.500 0.500
Ge 0.164 0.164 0.824
Ge 0.836 0.836 0.176
Se 0.167 0.167 0.327
Se 0.500 0.500 0.000
Se 0.833 0.833 0.673

Values from the calculation:
Formation energy without anion corrections = -1.273 eV/atom
V = 308 Å³/cell



VASP calculation (PBE) on Y2InGeSe after structural relaxation.

Cell lengths 5.505, 5.505, 5.019 Å; angles 90.00, 90.00, 90.00 degrees
Positions (direct):
Y 0.000 0.500 0.000
Y 0.500 0.000 0.000
In 0.000 0.000 0.500
Ge 0.000 0.000 0.000
Se 0.500 0.500 0.500

Values from the calculation:
Formation energy without anion corrections = -0.217 eV/atom
V = 152 Å³/cell



VASP calculation (PBE) on InSiGe2 after structural relaxation.

Cell lengths 5.979, 5.979, 11.473 Å; angles 90.00, 90.00, 90.00 degrees
Positions (direct):
In 0.000 0.000 0.000
In 0.000 0.500 0.250
In 0.500 0.000 0.750
In 0.500 0.500 0.500
Si 0.000 0.000 0.500
Si 0.000 0.500 0.750
Si 0.500 0.000 0.250
Si 0.500 0.500 0.000
Ge 0.213 0.250 0.625
Ge 0.250 0.713 0.875
Ge 0.250 0.787 0.375
Ge 0.287 0.250 0.125
Ge 0.713 0.750 0.125
Ge 0.750 0.213 0.375
Ge 0.750 0.287 0.875
Ge 0.787 0.750 0.625

Values from the calculation:
Formation energy without anion corrections = 0.166 eV/atom
V = 410 Å³/cell
Energy above the most stable polymorph in this dataset = 0.00 eV per formula unit



VASP calculation (PBE) on In3SiGe after structural relaxation.

Cell lengths 5.200, 5.200, 5.200 Å; angles 90.00, 90.00, 90.00 degrees
Positions (direct):
In 0.000 0.000 0.500
In 0.000 0.500 0.000
In 0.500 0.000 0.000
Si 0.000 0.000 0.000
Ge 0.500 0.500 0.500

Values from the calculation:
Formation energy without anion corrections = 0.564 eV/atom
V = 141 Å³/cell
Energy above the most stable polymorph in this dataset = 0.00 eV per formula unit



VASP calculation (PBE) on InSi2Ge2 after structural relaxation.

Cell lengths 4.753, 4.753, 8.975 Å; angles 90.00, 90.00, 90.00 degrees
Positions (direct):
In 0.000 0.000 0.000
In 0.500 0.500 0.500
Si 0.000 0.000 0.367
Si 0.000 0.000 0.633
Si 0.500 0.500 0.133
Si 0.500 0.500 0.867
Ge 0.000 0.500 0.250
Ge 0.000 0.500 0.750
Ge 0.500 0.000 0.250
Ge 0.500 0.000 0.750

Values from the calculation:
Formation energy without anion corrections = 0.232 eV/atom
V = 203 Å³/cell
Energy above the most stable polymorph in this dataset = 0.00 eV per formula unit



VASP calculation (PBE) on In2Si2Ge after structural relaxation.

Cell lengths 6.769, 6.769, 4.710 Å; angles 90.00, 90.00, 90.00 degrees
Positions (direct):
In 0.186 0.314 0.000
In 0.314 0.814 0.000
In 0.686 0.186 0.000
In 0.814 0.686 0.000
Si 0.125 0.625 0.500
Si 0.375 0.125 0.500
Si 0.625 0.875 0.500
Si 0.875 0.375 0.500
Ge 0.000 0.000 0.500
Ge 0.500 0.500 0.500

Values from the calculation:
Formation energy without anion corrections = 0.334 eV/atom
V = 216 Å³/cell
Energy above the most stable polymorph in this dataset = 0.18 eV per formula unit



VASP calculation (PBE) on In3SiGe after structural relaxation.

Cell lengths 5.288, 5.288, 5.288 Å; angles 90.00, 90.00, 90.00 degrees
Positions (direct):
In 0.000 0.000 0.500
In 0.000 0.500 0.000
In 0.500 0.000 0.000
Si 0.500 0.500 0.500
Ge 0.000 0.000 0.000

Values from the calculation:
Formation energy without anion corrections = 0.729 eV/atom
V = 148 Å³/cell
Energy above the most stable polymorph in this dataset = 0.82 eV per formula unit



VASP calculation (PBE) on InSiGe3 after structural relaxation.

Cell lengths 4.862, 4.862, 4.862 Å; angles 90.00, 90.00, 90.00 degrees
Positions (direct):
In 0.000 0.000 0.000
Si 0.500 0.500 0.500
Ge 0.000 0.500 0.500
Ge 0.500 0.000 0.500
Ge 0.500 0.500 0.000

Values from the calculation:
Formation energy without anion corrections = 0.529 eV/atom
V = 115 Å³/cell
Energy above the most stable polymorph in this dataset = 0.00 eV per formula unit



VASP calculation (PBE) on InSi2Ge2 after structural relaxation.

Cell lengths 7.605, 7.605, 3.437 Å; angles 90.00, 90.00, 90.00 degrees
Positions (direct):
In 0.000 0.000 0.000
In 0.500 0.500 0.000
Si 0.124 0.376 0.000
Si 0.376 0.876 0.000
Si 0.624 0.124 0.000
Si 0.876 0.624 0.000
Ge 0.146 0.646 0.500
Ge 0.354 0.146 0.500
Ge 0.646 0.854 0.500
Ge 0.854 0.354 0.500

Values from the calculation:
Formation energy without anion corrections = 0.370 eV/atom
V = 199 Å³/cell
Energy above the most stable polymorph in this dataset = 0.69 eV per formula unit



VASP calculation (PBE) on InSiGe3 after structural relaxation.

Cell lengths 5.205, 5.205, 5.205 Å; angles 90.00, 90.00, 90.00 degrees
Positions (direct):
In 0.000 0.000 0.000
Si 0.500 0.500 0.500
Ge 0.000 0.000 0.500
Ge 0.000 0.500 0.000
Ge 0.500 0.000 0.000

Values from the calculation:
Formation energy without anion corrections = 1.195 eV/atom
V = 141 Å³/cell
Energy above the most stable polymorph in this dataset = 3.33 eV per formula unit



VASP calculation (PBE) on InSi2Ge2 after structural relaxation.

Cell lengths 3.839, 3.839, 14.378 Å; angles 90.00, 90.00, 90.00 degrees
Positions (direct):
In 0.000 0.000 0.000
In 0.500 0.500 0.500
Si 0.000 0.500 0.250
Si 0.000 0.500 0.750
Si 0.500 0.000 0.250
Si 0.500 0.000 0.750
Ge 0.000 0.000 0.374
Ge 0.000 0.000 0.626
Ge 0.500 0.500 0.126
Ge 0.500 0.500 0.874

Values from the calculation:
Formation energy without anion corrections = 0.314 eV/atom
V = 212 Å³/cell
Energy above the most stable polymorph in this dataset = 0.41 eV per formula unit



VASP calculation (PBE) on InSiGe2 after structural relaxation.

Cell lengths 6.843, 6.843, 6.843 Å; angles 90.00, 90.00, 90.00 degrees
Positions (direct):
In 0.000 0.000 0.000
In 0.000 0.500 0.500
In 0.500 0.000 0.500
In 0.500 0.500 0.000
Si 0.000 0.000 0.500
Si 0.000 0.500 0.000
Si 0.500 0.000 0.000
Si 0.500 0.500 0.500
Ge 0.250 0.250 0.250
Ge 0.250 0.250 0.750
Ge 0.250 0.750 0.250
Ge 0.250 0.750 0.750
Ge 0.750 0.250 0.250
Ge 0.750 0.250 0.750
Ge 0.750 0.750 0.250
Ge 0.750 0.750 0.750

Values from the calculation:
Formation energy without anion corrections = 0.431 eV/atom
V = 320 Å³/cell
Energy above the most stable polymorph in this dataset = 1.06 eV per formula unit



VASP calculation (PBE) on In2Si2Ge after structural relaxation.

Cell lengths 3.448, 3.448, 18.266 Å; angles 90.00, 90.00, 90.00 degrees
Positions (direct):
In 0.000 0.000 0.109
In 0.000 0.000 0.891
In 0.500 0.500 0.391
In 0.500 0.500 0.609
Si 0.000 0.500 0.250
Si 0.000 0.500 0.750
Si 0.500 0.000 0.250
Si 0.500 0.000 0.750
Ge 0.000 0.000 0.500
Ge 0.500 0.500 0.000

Values from the calculation:
Formation energy without anion corrections = 0.298 eV/atom
V = 217 Å³/cell
Energy above the most stable polymorph in this dataset = 0.00 eV per formula unit



VASP calculation (PBE) on YInSiGe2 after structural relaxation.

Cell lengths 4.879, 4.879, 5.148 Å; angles 90.00, 90.00, 90.00 degrees
Positions (direct):
Y 0.000 0.000 0.000
In 0.500 0.500 0.000
Si 0.500 0.500 0.500
Ge 0.000 0.500 0.500
Ge 0.500 0.000 0.500

Values from the calculation:
Formation energy without anion corrections = 0.261 eV/atom
V = 123 Å³/cell



VASP calculation (PBE) on SmInGe2 after structural relaxation.

Cell lengths 4.817, 4.817, 21.589 Å; angles 90.00, 90.00, 120.00 degrees
Positions (direct):
Sm 0.000 0.000 0.000
Sm 0.333 0.667 0.667
Sm 0.667 0.333 0.333
In 0.000 0.000 0.500
In 0.333 0.667 0.167
In 0.667 0.333 0.833
Ge 0.000 0.000 0.379
Ge 0.000 0.000 0.621
Ge 0.333 0.667 0.046
Ge 0.333 0.667 0.288
Ge 0.667 0.333 0.712
Ge 0.667 0.333 0.954

Values from the calculation:
V = 434 Å³/cell
Energy above the most stable polymorph in this dataset = 2.63 eV per formula unit
ΔE_f = 0.209 eV per atom



VASP calculation (PBE) on Sm5InGe2 after structural relaxation.

Cell lengths 9.109, 9.109, 9.109 Å; angles 128.19, 128.19, 76.32 degrees
Positions (direct):
Sm 0.000 0.000 0.000
Sm 0.025 0.525 0.831
Sm 0.194 0.025 0.500
Sm 0.306 0.806 0.831
Sm 0.475 0.306 0.500
Sm 0.500 0.500 0.000
Sm 0.525 0.694 0.500
Sm 0.694 0.194 0.169
Sm 0.806 0.975 0.500
Sm 0.975 0.475 0.169
In 0.250 0.250 0.000
In 0.750 0.750 0.000
Ge 0.137 0.363 0.500
Ge 0.363 0.863 0.227
Ge 0.637 0.137 0.773
Ge 0.863 0.637 0.500

Values from the calculation:
V = 454 Å³/cell
ΔE_f = -0.621 eV per atom



VASP calculation (PBE) on Sm2InGe after structural relaxation.

Cell lengths 6.152, 4.194, 8.876 Å; angles 90.00, 107.70, 90.00 degrees
Positions (direct):
Sm 0.191 0.250 0.419
Sm 0.278 0.750 0.061
Sm 0.722 0.250 0.939
Sm 0.809 0.750 0.581
In 0.375 0.750 0.708
In 0.625 0.250 0.292
Ge 0.126 0.250 0.795
Ge 0.874 0.750 0.205

Values from the calculation:
V = 218 Å³/cell
ΔE_f = -0.663 eV per atom



VASP calculation (PBE) on Sm6In2Ge after structural relaxation.

Cell lengths 3.985, 8.794, 8.794 Å; angles 120.03, 90.00, 90.00 degrees
Positions (direct):
Sm 0.000 0.000 0.000
Sm 0.000 0.484 0.741
Sm 0.000 0.741 0.484
Sm 0.500 0.133 0.742
Sm 0.500 0.350 0.350
Sm 0.500 0.742 0.133
In 0.000 0.075 0.408
In 0.000 0.408 0.075
Ge 0.500 0.743 0.743

Values from the calculation:
V = 267 Å³/cell
ΔE_f = -0.419 eV per atom



VASP calculation (PBE) on SmInGe2 after structural relaxation.

Cell lengths 4.367, 4.367, 18.956 Å; angles 90.00, 90.00, 90.00 degrees
Positions (direct):
Sm 0.000 0.000 0.109
Sm 0.000 0.000 0.891
Sm 0.500 0.500 0.391
Sm 0.500 0.500 0.609
In 0.000 0.500 0.250
In 0.000 0.500 0.750
In 0.500 0.000 0.250
In 0.500 0.000 0.750
Ge 0.000 0.000 0.385
Ge 0.000 0.000 0.615
Ge 0.000 0.500 0.000
Ge 0.000 0.500 0.500
Ge 0.500 0.000 0.000
Ge 0.500 0.000 0.500
Ge 0.500 0.500 0.115
Ge 0.500 0.500 0.885

Values from the calculation:
V = 362 Å³/cell
Energy above the most stable polymorph in this dataset = 0.00 eV per formula unit
ΔE_f = -0.448 eV per atom



VASP calculation (PBE) on Sm2InGe after structural relaxation.

Cell lengths 3.888, 3.888, 6.846 Å; angles 90.00, 90.00, 90.00 degrees
Positions (direct):
Sm 0.000 0.000 0.227
Sm 0.000 0.000 0.773
In 0.500 0.500 0.500
Ge 0.500 0.500 0.000

Values from the calculation:
V = 103 Å³/cell
ΔE_f = -0.552 eV per atom



VASP calculation (PBE) on Sm3InGe3 after structural relaxation.

Cell lengths 8.819, 8.819, 6.002 Å; angles 90.00, 90.00, 120.00 degrees
Positions (direct):
Sm 0.056 0.691 0.250
Sm 0.309 0.364 0.250
Sm 0.364 0.056 0.750
Sm 0.636 0.944 0.250
Sm 0.691 0.636 0.750
Sm 0.944 0.309 0.750
In 0.333 0.667 0.750
In 0.667 0.333 0.250
Ge 0.046 0.695 0.750
Ge 0.305 0.351 0.750
Ge 0.351 0.046 0.250
Ge 0.649 0.954 0.750
Ge 0.695 0.649 0.250
Ge 0.954 0.305 0.250

Values from the calculation:
V = 404 Å³/cell
ΔE_f = -0.572 eV per atom